Computed, not measured: SnS2 after structural relaxation at the GGA-PBE level of DFT.

It has space group I-42d (No. 122), with a = 6.065 Å, b = 6.065 Å, c = 9.901 Å, α = 90.00°, β = 90.00° and γ = 90.00°. The inequivalent atoms are Sn at (0.000, 0.000, 0.000) and S at (0.238, 0.250, 0.125).

For the raw total energy, the calculation gives -4.400 eV/atom.